# 1
Computed, not measured: a relaxed NbMoAs2 crystal at the GGA-PBE level of DFT.

## Properties
Total magnetization   0.00 μB/cell
DFT total energy   -7.420 eV per atom

Lattice parameters (Å, degrees): 4.5531 4.5531 4.5531 60.00 60.00 60.00
Fractional positions:
Nb1 0.0000 0.0000 0.0000
Mo1 0.2500 0.2500 0.2500
As1 0.5000 0.5000 0.5000
As2 0.7500 0.7500 0.7500



# 2
Computed, not measured: a relaxed BaLaPm crystal at the GGA-PBE level of DFT.

## Properties
Polymorph energy (0 for the lowest one)   0.0 meV/atom
Total magnetization   2.40 μB/cell

Lattice parameters (Å, degrees): 5.9318 5.9318 5.9318 60.00 60.00 60.00
Fractional positions:
Ba1 0.0000 0.0000 0.0000
La1 0.5000 0.5000 0.5000
Pm1 0.2500 0.2500 0.2500



# 3
Computed, not measured: a relaxed AlCuSiNi crystal at the GGA-PBE level of DFT.

## Properties
Polymorph energy (0 for the lowest one)   0.0 meV/atom
Total magnetization   0.00 μB/cell

Lattice parameters (Å, degrees): 4.1015 4.1015 4.1015 60.00 60.00 60.00
Fractional positions:
Al1 0.0000 0.0000 0.0000
Cu1 0.7500 0.7500 0.7500
Si1 0.5000 0.5000 0.5000
Ni1 0.2500 0.2500 0.2500



# 4
Computed, not measured: a relaxed MoCl2 crystal at the GGA-PBE level of DFT.

## Properties
Polymorph energy (0 for the lowest one)   1027.7 meV/atom
Total magnetization   0.85 μB/cell

Lattice parameters (Å, degrees): 7.4548 7.4548 7.4548 60.00 60.00 60.00
Fractional positions:
Mo1 0.1250 0.1250 0.1250
Mo2 0.8750 0.8750 0.8750
Cl1 0.0000 0.0000 0.0000
Cl2 0.0000 0.0000 0.5000
Cl3 0.0000 0.5000 0.0000
Cl4 0.5000 0.0000 0.0000



Question: Among the records above, which one has the highest total magnetization?
Answer: BaLaPm